VASP calculation (PBE) on a geometry-optimized SrTiFe3 structure.

- Total magnetic moment: 5.6 μB per formula unit
- DFT formation energy: 0.7827 eV per atom

Unit cell a=4.6268 b=4.6268 c=4.6268 alpha=90.00 beta=90.00 gamma=90.00
Last column: nearest neighbours and their distance in Å.
Element x y z (fractional)
1 Sr 0.5000 0.5000 0.5000  12 Fe 3.27
2 Fe 0.0000 0.5000 0.0000  2 Ti 2.31
3 Fe 0.0000 0.0000 0.5000  2 Ti 2.31
4 Fe 0.5000 0.0000 0.0000  2 Ti 2.31
5 Ti 0.0000 0.0000 0.0000  6 Fe 2.31

=====

VASP calculation (PBE) on a geometry-optimized SrTi3Fe structure.

- Total magnetic moment: 0.0 μB per formula unit
- DFT formation energy: 2.3249 eV per atom

Unit cell a=4.6330 b=4.6330 c=4.6330 alpha=90.00 beta=90.00 gamma=90.00
Last column: nearest neighbours and their distance in Å.
Element x y z (fractional)
1 Sr 0.0000 0.0000 0.0000  6 Ti 2.32
2 Fe 0.5000 0.5000 0.5000  12 Ti 3.28
3 Ti 0.0000 0.5000 0.0000  2 Sr 2.32
4 Ti 0.0000 0.0000 0.5000  2 Sr 2.32
5 Ti 0.5000 0.0000 0.0000  2 Sr 2.32

=====

Computed values of relative energy among the computed polymorphs (unit: eV/atom) for the preceding records, in sequence: 0.000, 1.990.